Run i
Below is a relaxed structure of FeOs2Au, with properties calculated at the GGA-PBE level.

## Properties
- volume (Å³ per cell) = 59.31
- space group = No. 25
- magnetic moment (μB/f.u.) = 2.9
- crystal system = orthorhombic

Cell: 2.780 3.831 5.569 Å, 90.00 90.00 90.00°
Fractional coordinates of all 4 atoms:
1 Fe 0.000 0.000 0.000
2 Os 0.000 0.000 0.451
3 Os 0.500 0.500 0.248
4 Au 0.500 0.500 0.749


Run ii
Below is a relaxed structure of FeOs2Au, with properties calculated at the GGA-PBE level.

## Properties
- volume (Å³ per cell) = 58.29
- space group = No. 166
- magnetic moment (μB/f.u.) = 1.5
- crystal system = trigonal

Cell: 9.228 9.228 9.228 Å, 16.95 16.95 16.95°
Fractional coordinates of all 4 atoms:
1 Fe 0.000 0.000 0.000
2 Os 0.259 0.259 0.259
3 Os 0.741 0.741 0.741
4 Au 0.500 0.500 0.500


Run iii
Below is a relaxed structure of FeOs2Au, with properties calculated at the GGA-PBE level.

## Properties
- volume (Å³ per cell) = 57.94
- space group = No. 119
- magnetic moment (μB/f.u.) = 2.6
- crystal system = tetragonal

Cell: 4.748 4.748 4.748 Å, 131.99 131.99 70.24°
Fractional coordinates of all 4 atoms:
1 Fe 0.000 0.000 0.000
2 Os 0.250 0.750 0.500
3 Os 0.500 0.500 0.000
4 Au 0.750 0.250 0.500


Run iv
Below is a relaxed structure of FeOs2Au, with properties calculated at the GGA-PBE level.

## Properties
- volume (Å³ per cell) = 60.56
- space group = No. 35
- magnetic moment (μB/f.u.) = 3.1
- crystal system = orthorhombic

Cell: 2.706 2.706 9.331 Å, 90.00 90.00 117.58°
Fractional coordinates of all 4 atoms:
1 Fe 0.000 0.000 0.000
2 Os 0.000 0.000 0.471
3 Os 0.500 0.500 0.230
4 Au 0.500 0.500 0.750


The computed energies, referenced to the most stable structure and given in kJ/mol of atoms, are run i 0.0; run ii 4.6; run iii 15.3; run iv 23.0.


Run i
Below is a relaxed structure of FeOs2Au, with properties calculated at the GGA-PBE level.

## Properties
- volume (Å³ per cell) = 57.98
- space group = No. 139
- magnetic moment (μB/f.u.) = 2.1
- crystal system = tetragonal

Cell: 4.762 4.762 4.762 Å, 132.27 132.27 69.81°
Fractional coordinates of all 4 atoms:
1 Fe 0.000 0.000 0.000
2 Os 0.250 0.750 0.500
3 Os 0.750 0.250 0.500
4 Au 0.500 0.500 0.000


Run ii
Below is a relaxed structure of FeOs2Au, with properties calculated at the GGA-PBE level.

## Properties
- volume (Å³ per cell) = 57.55
- space group = No. 123
- magnetic moment (μB/f.u.) = 1.4
- crystal system = tetragonal

Cell: 2.719 2.719 7.785 Å, 90.00 90.00 90.00°
Fractional coordinates of all 4 atoms:
1 Fe 0.000 0.000 0.000
2 Os 0.500 0.500 0.219
3 Os 0.500 0.500 0.781
4 Au 0.000 0.000 0.500


The computed energies, referenced to the most stable structure and given in kJ/mol of atoms, are run i 5.6; run ii 0.0.


Run i
Below is a relaxed structure of FeOs2Au, with properties calculated at the GGA-PBE level.

## Properties
- volume (Å³ per cell) = 60.15
- space group = No. 65
- magnetic moment (μB/f.u.) = 2.9
- crystal system = orthorhombic

Cell: 2.695 2.695 9.383 Å, 90.00 90.00 118.03°
Fractional coordinates of all 4 atoms:
1 Fe 0.000 0.000 0.000
2 Os 0.500 0.500 0.225
3 Os 0.500 0.500 0.775
4 Au 0.000 0.000 0.500


Run ii
Below is a relaxed structure of FeOs2Au, with properties calculated at the GGA-PBE level.

## Properties
- volume (Å³ per cell) = 58.81
- space group = No. 225
- magnetic moment (μB/f.u.) = 2.7
- crystal system = cubic

Cell: 4.365 4.365 4.365 Å, 60.00 60.00 60.00°
Fractional coordinates of all 4 atoms:
1 Fe 0.000 0.000 0.000
2 Os 0.250 0.250 0.250
3 Os 0.750 0.750 0.750
4 Au 0.500 0.500 0.500


The computed energies, referenced to the most stable structure and given in kJ/mol of atoms, are run i 0.0; run ii 17.2.


Run i
Below is a relaxed structure of FeOs2Au, with properties calculated at the GGA-PBE level.

## Properties
- volume (Å³ per cell) = 58.65
- space group = No. 47
- magnetic moment (μB/f.u.) = 1.8
- crystal system = orthorhombic

Cell: 2.716 3.715 5.811 Å, 90.00 90.00 90.00°
Fractional coordinates of all 4 atoms:
1 Fe 0.000 0.000 0.000
2 Os 0.500 0.500 0.213
3 Os 0.500 0.500 0.787
4 Au 0.000 0.000 0.500


Run ii
Below is a relaxed structure of FeOs2Au, with properties calculated at the GGA-PBE level.

## Properties
- volume (Å³ per cell) = 58.55
- space group = No. 10
- magnetic moment (μB/f.u.) = 2.7
- crystal system = monoclinic

Cell: 4.730 2.765 4.744 Å, 90.00 109.34 90.00°
Fractional coordinates of all 4 atoms:
1 Fe 0.000 0.000 0.000
2 Os 0.000 0.500 0.500
3 Os 0.500 0.000 0.500
4 Au 0.500 0.500 0.000


The computed energies, referenced to the most stable structure and given in kJ/mol of atoms, are run i 3.4; run ii 0.0.


Run i
Below is a relaxed structure of FeOsAu, with properties calculated at the GGA-PBE level.

## Properties
- volume (Å³ per cell) = 43.56
- space group = No. 107
- magnetic moment (μB/f.u.) = 1.2
- crystal system = tetragonal

Cell: 6.077 6.077 6.077 Å, 153.84 153.84 37.33°
Fractional coordinates of all 3 atoms:
1 Fe 0.000 0.000 0.000
2 Os 0.368 0.368 0.000
3 Au 0.676 0.676 0.000


Run ii
Below is a relaxed structure of FeOsAu, with properties calculated at the GGA-PBE level.

## Properties
- volume (Å³ per cell) = 44.53
- space group = No. 44
- magnetic moment (μB/f.u.) = 2.1
- crystal system = orthorhombic

Cell: 4.998 4.998 4.998 Å, 148.31 136.93 54.45°
Fractional coordinates of all 3 atoms:
1 Fe 0.000 0.000 0.000
2 Os 0.627 0.627 0.000
3 Au 0.318 0.318 0.000


Run iii
Below is a relaxed structure of FeOsAu, with properties calculated at the GGA-PBE level.

## Properties
- volume (Å³ per cell) = 45.54
- space group = No. 42
- magnetic moment (μB/f.u.) = 3.1
- crystal system = orthorhombic

Cell: 7.212 7.000 2.702 Å, 83.48 74.67 21.85°
Fractional coordinates of all 3 atoms:
1 Fe 0.000 0.000 0.000
2 Os 0.647 0.647 0.353
3 Au 0.333 0.333 0.667


Run iv
Below is a relaxed structure of FeOsAu, with properties calculated at the GGA-PBE level.

## Properties
- volume (Å³ per cell) = 47.93
- space group = No. 216
- magnetic moment (μB/f.u.) = 0.9
- crystal system = cubic

Cell: 4.077 4.077 4.077 Å, 60.00 60.00 60.00°
Fractional coordinates of all 3 atoms:
1 Fe 0.000 0.000 0.000
2 Os 0.250 0.250 0.250
3 Au 0.750 0.750 0.750


The computed energies, referenced to the most stable structure and given in kJ/mol of atoms, are run i 0.0; run ii 13.7; run iii 12.0; run iv 43.0.


Run i
Below is a relaxed structure of Fe2P2Au, with properties calculated at the GGA-PBE level.

## Properties
- volume (Å³ per cell) = 124.88
- space group = No. 127
- magnetic moment (μB/f.u.) = 0.0
- crystal system = tetragonal

Cell: 6.771 6.771 2.724 Å, 90.00 90.00 90.00°
Fractional coordinates of all 10 atoms:
1 Fe 0.138 0.362 0.000
2 Fe 0.362 0.862 0.000
3 Fe 0.638 0.138 0.000
4 Fe 0.862 0.638 0.000
5 P 0.146 0.646 0.500
6 P 0.354 0.146 0.500
7 P 0.646 0.854 0.500
8 P 0.854 0.354 0.500
9 Au 0.000 0.000 0.000
10 Au 0.500 0.500 0.000


Run ii
Below is a relaxed structure of Fe2P2Au, with properties calculated at the GGA-PBE level.

## Properties
- volume (Å³ per cell) = 65.36
- space group = No. 139
- magnetic moment (μB/f.u.) = 0.0
- crystal system = tetragonal

Cell: 5.958 5.958 5.958 Å, 146.15 146.15 48.63°
Fractional coordinates of all 5 atoms:
1 Fe 0.124 0.124 0.000
2 Fe 0.876 0.876 0.000
3 P 0.250 0.750 0.500
4 P 0.750 0.250 0.500
5 Au 0.500 0.500 0.000


The computed energies, referenced to the most stable structure and given in kJ/mol of atoms, are run i 10.1; run ii 0.0.


Run i
Below is a relaxed structure of FePAu3, with properties calculated at the GGA-PBE level.

## Properties
- volume (Å³ per cell) = 102.86
- space group = No. 221
- magnetic moment (μB/f.u.) = 3.0
- crystal system = cubic

Cell: 4.685 4.685 4.685 Å, 90.00 90.00 90.00°
Fractional coordinates of all 5 atoms:
1 Fe 0.000 0.000 0.000
2 P 0.500 0.500 0.500
3 Au 0.000 0.500 0.500
4 Au 0.500 0.000 0.500
5 Au 0.500 0.500 0.000


Run ii
Below is a relaxed structure of FePAu3, with properties calculated at the GGA-PBE level.

## Properties
- volume (Å³ per cell) = 110.02
- space group = No. 221
- magnetic moment (μB/f.u.) = 3.5
- crystal system = cubic

Cell: 4.792 4.792 4.792 Å, 90.00 90.00 90.00°
Fractional coordinates of all 5 atoms:
1 Fe 0.000 0.000 0.000
2 P 0.500 0.500 0.500
3 Au 0.000 0.000 0.500
4 Au 0.000 0.500 0.000
5 Au 0.500 0.000 0.000


The computed energies, referenced to the most stable structure and given in kJ/mol of atoms, are run i 0.0; run ii 42.0.


Run i
Below is a relaxed structure of FeP2Au, with properties calculated at the GGA-PBE level.

## Properties
- volume (Å³ per cell) = 66.11
- space group = No. 71
- magnetic moment (μB/f.u.) = 1.2
- crystal system = orthorhombic

Cell: 5.913 5.913 5.913 Å, 153.25 134.45 53.61°
Fractional coordinates of all 4 atoms:
1 Fe 0.000 0.000 0.000
2 P 0.169 0.669 0.500
3 P 0.831 0.331 0.500
4 Au 0.500 0.500 0.000


Run ii
Below is a relaxed structure of FeP2Au, with properties calculated at the GGA-PBE level.

## Properties
- volume (Å³ per cell) = 60.04
- space group = No. 119
- magnetic moment (μB/f.u.) = 2.5
- crystal system = tetragonal

Cell: 5.140 5.140 5.140 Å, 138.04 138.04 60.84°
Fractional coordinates of all 4 atoms:
1 Fe 0.000 0.000 0.000
2 P 0.250 0.750 0.500
3 P 0.500 0.500 0.000
4 Au 0.750 0.250 0.500


Run iii
Below is a relaxed structure of FeP2Au, with properties calculated at the GGA-PBE level.

## Properties
- volume (Å³ per cell) = 58.82
- space group = No. 65
- magnetic moment (μB/f.u.) = 2.2
- crystal system = orthorhombic

Cell: 4.220 4.220 3.302 Å, 90.00 90.00 90.14°
Fractional coordinates of all 4 atoms:
1 Fe 0.000 0.000 0.000
2 P 0.000 0.500 0.500
3 P 0.500 0.000 0.500
4 Au 0.500 0.500 0.000


Run iv
Below is a relaxed structure of FeP2Au, with properties calculated at the GGA-PBE level.

## Properties
- volume (Å³ per cell) = 58.70
- space group = No. 166
- magnetic moment (μB/f.u.) = 1.5
- crystal system = trigonal

Cell: 7.797 7.797 7.797 Å, 22.07 22.07 22.07°
Fractional coordinates of all 4 atoms:
1 Fe 0.000 0.000 0.000
2 P 0.266 0.266 0.266
3 P 0.734 0.734 0.734
4 Au 0.500 0.500 0.500


The computed energies, referenced to the most stable structure and given in kJ/mol of atoms, are run i 13.6; run ii 37.4; run iii 32.5; run iv 0.0.


Run i
Below is a relaxed structure of FeP2Au, with properties calculated at the GGA-PBE level.

## Properties
- volume (Å³ per cell) = 59.37
- space group = No. 8
- magnetic moment (μB/f.u.) = 0.1
- crystal system = monoclinic

Cell: 6.356 6.356 3.620 Å, 102.32 102.32 24.58°
Fractional coordinates of all 4 atoms:
1 Fe 0.000 0.000 0.000
2 P 0.351 0.351 0.888
3 P 0.546 0.546 0.539
4 Au 0.716 0.716 0.273


Run ii
Below is a relaxed structure of FeP2Au, with properties calculated at the GGA-PBE level.

## Properties
- volume (Å³ per cell) = 65.11
- space group = No. 12
- magnetic moment (μB/f.u.) = 0.0
- crystal system = monoclinic

Cell: 3.619 3.619 7.676 Å, 110.55 110.55 44.41°
Fractional coordinates of all 4 atoms:
1 Fe 0.000 0.000 0.000
2 P 0.366 0.366 0.161
3 P 0.634 0.634 0.839
4 Au 0.500 0.500 0.500


Run iii
Below is a relaxed structure of FeP2Au, with properties calculated at the GGA-PBE level.

## Properties
- volume (Å³ per cell) = 59.37
- space group = No. 25
- magnetic moment (μB/f.u.) = 0.0
- crystal system = orthorhombic

Cell: 2.759 2.892 7.444 Å, 90.00 90.00 90.00°
Fractional coordinates of all 4 atoms:
1 Fe 0.000 0.000 0.000
2 P 0.500 0.000 0.764
3 P 0.500 0.500 0.159
4 Au 0.500 0.500 0.486


Run iv
Below is a relaxed structure of FeP2Au, with properties calculated at the GGA-PBE level.

## Properties
- volume (Å³ per cell) = 56.57
- space group = No. 225
- magnetic moment (μB/f.u.) = 0.0
- crystal system = cubic

Cell: 4.309 4.309 4.309 Å, 60.00 60.00 60.00°
Fractional coordinates of all 4 atoms:
1 Fe 0.000 0.000 0.000
2 P 0.250 0.250 0.250
3 P 0.750 0.750 0.750
4 Au 0.500 0.500 0.500


The computed energies, referenced to the most stable structure and given in kJ/mol of atoms, are run i 17.6; run ii 0.0; run iii 1.8; run iv 66.6.


Run i
Below is a relaxed structure of FeP2Au, with properties calculated at the GGA-PBE level.

## Properties
- volume (Å³ per cell) = 58.17
- space group = No. 99
- magnetic moment (μB/f.u.) = 0.3
- crystal system = tetragonal

Cell: 2.772 2.772 7.569 Å, 90.00 90.00 90.00°
Fractional coordinates of all 4 atoms:
1 Fe 0.000 0.000 0.000
2 P 0.000 0.000 0.448
3 P 0.500 0.500 0.146
4 Au 0.500 0.500 0.726


Run ii
Below is a relaxed structure of FeP2Au, with properties calculated at the GGA-PBE level.

## Properties
- volume (Å³ per cell) = 58.82
- space group = No. 139
- magnetic moment (μB/f.u.) = 2.1
- crystal system = tetragonal

Cell: 4.542 4.542 4.542 Å, 126.30 126.30 79.39°
Fractional coordinates of all 4 atoms:
1 Fe 0.000 0.000 0.000
2 P 0.250 0.750 0.500
3 P 0.750 0.250 0.500
4 Au 0.500 0.500 0.000


Run iii
Below is a relaxed structure of FeP2Au, with properties calculated at the GGA-PBE level.

## Properties
- volume (Å³ per cell) = 146.85
- space group = No. 122
- magnetic moment (μB/f.u.) = 0.0
- crystal system = tetragonal

Cell: 6.322 6.322 6.322 Å, 129.46 129.46 74.27°
Fractional coordinates of all 8 atoms:
1 Fe 0.000 0.000 0.000
2 Fe 0.750 0.250 0.500
3 P 0.072 0.625 0.947
4 P 0.375 0.322 0.447
5 P 0.678 0.125 0.053
6 P 0.875 0.928 0.553
7 Au 0.250 0.750 0.500
8 Au 0.500 0.500 0.000


The computed energies, referenced to the most stable structure and given in kJ/mol of atoms, are run i 21.4; run ii 39.2; run iii 0.0.